Entry from Alexandria via LeMat-Bulk: a relaxed TaZn2ReHg crystal (PBE).

For the energy relative to the elements, the calculation gives 1645.8 meV/atom. The calculation puts the raw total energy at -0.278 Ry per atom.

abc: 4.711 4.711 5.096
angles: 90.00 90.00 90.00
Element x y z (fractional)
Ta  0.000  0.000  0.000
Zn  0.000  0.500  0.500
Zn  0.500  0.000  0.500
Re  0.500  0.500  0.500
Hg  0.500  0.500  0.000